DFT (PBE) results for LaPbNO2 after structural relaxation.

Geometry as CIF:
```
data_LaPbNO2
_cell_length_a 4.254
_cell_length_b 4.254
_cell_length_c 4.404
_cell_angle_alpha 90.00
_cell_angle_beta 90.00
_cell_angle_gamma 90.00
_space_group_name_H-M_alt 'P 4/m m m'
_space_group_IT_number 123
_space_group_name_Hall '-P 4 2'
loop_
_atom_site_label
_atom_site_type_symbol
_atom_site_fract_x
_atom_site_fract_y
_atom_site_fract_z
La1 La 0.000 0.000 0.000
Pb1 Pb 0.500 0.500 0.500
N1 N 0.500 0.500 0.000
O1 O 0.000 0.500 0.500
```

Summary:
The value obtained for the total energy is -6.375 eV/atom. Its formation energy from raw total energies is -1.00 eV per atom. The density of states at the Fermi level is 0.63 states/eV/cell.